6
Lattice="1.721 -12.045 0.000 1.721 12.045 0.000 0.000 0.000 3.437" Properties=species:S:1:pos:R:3 comment="TbPaP, relaxed, DFT GGA-PBE" de_polymorph_mev_per_atom=77.8 delta_e_f_ev_per_atom=-0.555 space_group=Cmcm final_energy_ev_per_atom=-7.067 pbc="T T T"
Tb 1.721 7.458 2.578
Tb 1.721 -7.458 0.859
Pa 1.721 10.681 2.578
Pa 1.721 -10.681 0.859
P 1.721 2.898 2.578
P 1.721 -2.898 0.859



3
Lattice="-1.704 1.704 5.602 1.704 -1.704 5.602 1.704 1.704 -5.602" Properties=species:S:1:pos:R:3 comment="SrAlRu, relaxed, DFT GGA-PBE" delta_e_f_ev_per_atom=-0.124 space_group=I4mm final_energy_ev_per_atom=-5.025 pbc="T T T"
Sr 0.000 0.000 0.000
Al 0.000 0.000 3.093
Ru 0.000 0.000 7.957



10
Lattice="4.663 0.000 0.000 0.000 4.663 0.000 0.000 0.000 12.353" Properties=species:S:1:pos:R:3 comment="Cs2Al7Tl, relaxed, DFT GGA-PBE" delta_e_f_ev_per_atom=0.178 space_group=P4mm final_energy_ev_per_atom=-2.849 pbc="T T T"
Cs 0.000 0.000 0.000
Cs 2.332 2.332 6.058
Al 0.000 0.000 4.459
Al 0.000 2.332 2.987
Al 0.000 2.332 9.400
Al 2.332 0.000 2.987
Al 2.332 0.000 9.400
Al 2.332 2.332 1.457
Al 2.332 2.332 10.887
Tl 0.000 0.000 7.598



5
Lattice="5.497 0.000 0.000 0.000 5.497 0.000 0.000 0.000 5.484" Properties=species:S:1:pos:R:3 comment="ZrNbTl2In, relaxed, DFT GGA-PBE" delta_e_f_ev_per_atom=1.251 space_group=P4/mmm final_energy_ev_per_atom=-3.967 pbc="T T T"
Zr 0.000 0.000 0.000
Nb 2.748 2.748 2.742
Tl 0.000 2.748 0.000
Tl 2.748 0.000 0.000
In 0.000 0.000 2.742



6
Lattice="0.000 3.958 3.958 3.958 0.000 3.958 3.958 3.958 0.000" Properties=species:S:1:pos:R:3 comment="BaMn4As, relaxed, DFT GGA-PBE" delta_e_f_ev_per_atom=0.599 space_group=F-43m final_energy_ev_per_atom=-6.609 pbc="T T T"
Ba 0.000 0.000 0.000
Mn 4.948 2.969 2.969
Mn 2.969 4.948 2.969
Mn 2.969 2.969 4.948
Mn 4.948 4.948 4.948
As 1.979 1.979 1.979



4
Lattice="3.564 -1.618 0.000 3.564 1.618 0.000 -1.541 0.000 4.624" Properties=species:S:1:pos:R:3 comment="BeCoP2, relaxed, DFT GGA-PBE" delta_e_f_ev_per_atom=-0.153 space_group=Cm final_energy_ev_per_atom=-5.566 pbc="T T T"
Be 0.000 0.000 0.000
Co 3.550 0.000 4.067
P 1.915 0.000 0.948
P 1.417 0.000 3.129



9
Lattice="9.386 -1.809 0.000 9.386 1.809 0.000 -4.178 0.000 8.664" Properties=species:S:1:pos:R:3 comment="TbNd2Sm2Ho4, relaxed, DFT GGA-PBE" delta_e_f_ev_per_atom=0.001 space_group=C2/m final_energy_ev_per_atom=-4.656 pbc="T T T"
Tb 0.000 0.000 0.000
Nd 2.107 0.000 8.654
Nd 12.486 0.000 0.010
Sm -0.008 0.000 5.742
Sm 14.602 0.000 2.922
Ho 2.069 0.000 2.911
Ho 6.234 0.000 5.779
Ho 8.359 0.000 2.885
Ho 12.524 0.000 5.753



10
Lattice="7.229 0.000 0.000 0.000 7.229 0.000 0.000 0.000 3.304" Properties=species:S:1:pos:R:3 comment="Mg2AsPd2, relaxed, DFT GGA-PBE" de_polymorph_mev_per_atom=0.0 delta_e_f_ev_per_atom=-0.500 space_group=P4/mbm final_energy_ev_per_atom=-4.145 pbc="T T T"
Mg 1.135 2.480 0.000
Mg 2.480 6.094 0.000
Mg 4.749 1.135 0.000
Mg 6.094 4.749 0.000
As 0.000 0.000 1.652
As 3.614 3.614 1.652
Pd 1.024 4.638 1.652
Pd 2.591 1.024 1.652
Pd 4.638 6.205 1.652
Pd 6.205 2.591 1.652



13
Lattice="3.682 2.126 9.870 -3.682 2.126 9.870 0.000 -4.252 9.870" Properties=species:S:1:pos:R:3 comment="La8PrY4, relaxed, DFT GGA-PBE" delta_e_f_ev_per_atom=0.145 space_group=R-3m final_energy_ev_per_atom=-5.244 pbc="T T T"
La -2.039 -1.177 16.849
La 0.000 0.000 6.279
La 0.000 -2.354 12.762
La -2.039 1.177 12.762
La 2.039 -1.177 16.849
La 0.000 2.354 16.849
La 0.000 0.000 23.332
La 2.039 1.177 12.762
Pr 0.000 0.000 14.805
Y 0.000 0.000 0.000
Y -1.841 -1.063 9.870
Y -1.841 1.063 19.741
Y 0.000 2.126 9.870



8
Lattice="5.026 0.000 0.000 0.000 5.026 0.000 0.000 0.000 10.320" Properties=species:S:1:pos:R:3 comment="Pr6DyAl, relaxed, DFT GGA-PBE" delta_e_f_ev_per_atom=-0.059 space_group=P4/mmm final_energy_ev_per_atom=-4.687 pbc="T T T"
Pr 0.000 0.000 0.000
Pr 0.000 0.000 5.160
Pr 0.000 2.513 2.460
Pr 0.000 2.513 7.860
Pr 2.513 0.000 2.460
Pr 2.513 0.000 7.860
Dy 2.513 2.513 5.160
Al 2.513 2.513 0.000



4
Lattice="0.000 3.375 3.375 3.375 0.000 3.375 3.375 3.375 0.000" Properties=species:S:1:pos:R:3 comment="MgPaIrPt, relaxed, DFT GGA-PBE" delta_e_f_ev_per_atom=-0.735 space_group=F-43m final_energy_ev_per_atom=-7.233 pbc="T T T"
Mg 0.000 0.000 0.000
Pa 3.375 3.375 3.375
Ir 5.063 5.063 5.063
Pt 1.688 1.688 1.688



5
Lattice="3.847 0.000 0.000 0.000 3.847 0.000 0.000 0.000 3.906" Properties=species:S:1:pos:R:3 comment="LiHPtRh2, relaxed, DFT GGA-PBE" de_polymorph_mev_per_atom=0.0 space_group=P4/mmm final_energy_ev_per_atom=-5.426 pbc="T T T"
Li 0.000 0.000 0.000
H 0.000 0.000 1.953
Pt 1.923 1.923 0.000
Rh 0.000 1.923 1.953
Rh 1.923 0.000 1.953